Here is a relaxed YCdRu crystal from Alexandria. Energies are from PBE-GGA.

The crystal system is cubic. The formation energy comes out at 634 meV/atom.

POSCAR file:
```
YCdRu
1.0
-1.159 -2.875 -3.561
0.480 -4.672 0.485
-3.827 -2.745 0.331
Cd Ru Y
1 1 1
Direct
0.000 0.000 0.000 Cd
0.500 0.500 0.500 Ru
0.750 0.750 0.750 Y
```

---

Here is a relaxed CeScInIr crystal from Alexandria. Energies are from PBE-GGA.

The crystal system is cubic. The formation energy comes out at -421 meV/atom.

POSCAR file:
```
CeScInIr
1.0
5.009 0.000 0.000
2.504 4.338 0.000
2.504 1.446 4.090
Sc Ir Ce In
1 1 1 1
Direct
0.250 0.250 0.250 Sc
0.000 0.000 0.000 Ir
0.750 0.750 0.750 Ce
0.500 0.500 0.500 In
```

---

Here is a relaxed Pr8Ir5Pd crystal from Alexandria. Energies are from PBE-GGA.

The crystal system is tetragonal. The formation energy comes out at -597 meV/atom.

POSCAR file:
```
Pr8Ir5Pd
1.0
7.338 0.000 -2.568
-3.640 6.357 -2.603
-0.058 0.000 7.774
Pr Ir Pd
8 5 1
Direct
0.122 0.753 0.003 Pr
0.997 0.120 0.750 Pr
0.742 0.247 0.371 Pr
0.629 0.372 0.877 Pr
0.505 0.628 0.258 Pr
0.631 0.880 0.878 Pr
0.250 0.247 0.369 Pr
0.123 0.753 0.495 Pr
0.005 0.376 0.125 Ir
0.875 0.880 0.251 Ir
0.749 0.624 0.629 Ir
0.500 0.000 0.500 Ir
0.371 0.120 0.995 Ir
0.250 0.500 0.750 Pd
```

---

Here is a relaxed LaPmTlAu crystal from Alexandria. Energies are from PBE-GGA.

The crystal system is tetragonal. For the energy above the most stable polymorph in this dataset, the calculation gives 0 meV/atom. The formation energy comes out at -592 meV/atom.

POSCAR file:
```
LaPmTlAu
1.0
3.752 0.000 0.000
0.000 3.752 0.000
0.000 0.000 8.034
La Pm Tl Au
1 1 1 1
Direct
0.000 0.000 0.839 La
0.000 0.000 0.382 Pm
0.500 0.500 0.116 Tl
0.500 0.500 0.591 Au
```